Compound: BaCd2Ag
Source: the Alexandria database
Functional: PBE
Structure: optimized geometry

a = 8.4907 Å, b = 4.9193 Å, c = 6.5663 Å
α = 90.00°, β = 116.07°, γ = 90.00°
Sites, in units of the cell vectors:
Ba  0.0000  0.0000  0.0000
Ba  0.5000  0.5000  0.0000
Cd  0.2031  0.0000  0.6090
Cd  0.2969  0.5000  0.3910
Cd  0.7031  0.5000  0.6090
Cd  0.7969  0.0000  0.3910
Ag  0.0000  0.5000  0.5000
Ag  0.5000  0.0000  0.5000

Results
ΔE_f   -0.89 eV/f.u.
Calculated volume   30.80 A^3/atom
Raw total energy   -14.997 eV per cell
DOS at the Fermi energy   2.226 states/eV/f.u.
Crystal system   monoclinic

***

Compound: BaCdAg3
Source: the Alexandria database
Functional: PBE
Structure: optimized geometry

a = 6.2319 Å, b = 6.2319 Å, c = 6.2319 Å
α = 90.00°, β = 90.00°, γ = 90.00°
Sites, in units of the cell vectors:
Ba  0.0000  0.0000  0.0000
Cd  0.5000  0.5000  0.5000
Ag  0.0000  0.0000  0.5000
Ag  0.0000  0.5000  0.0000
Ag  0.5000  0.0000  0.0000

Results
ΔE_f   4.35 eV/f.u.
Calculated volume   48.41 A^3/atom
Raw total energy   -7.046 eV per cell
DOS at the Fermi energy   8.775 states/eV/f.u.
Excess energy over the best structure of this formula in the dataset   1023 meV/atom
Crystal system   cubic

***

Compound: Ba2Cd4Ag3
Source: the Alexandria database
Functional: PBE
Structure: optimized geometry

a = 9.3344 Å, b = 8.2594 Å, c = 6.0898 Å
α = 79.59°, β = 60.49°, γ = 39.92°
Sites, in units of the cell vectors:
Ba  0.1356  0.1356  0.8644
Ba  0.8644  0.8644  0.1356
Cd  0.1701  0.5101  0.4899
Cd  0.4899  0.8299  0.1701
Cd  0.5101  0.1701  0.8299
Cd  0.8299  0.4899  0.5101
Ag  0.0000  0.0000  0.5000
Ag  0.5000  0.5000  0.0000
Ag  0.5000  0.5000  0.5000

Results
ΔE_f   -1.81 eV/f.u.
Calculated volume   27.26 A^3/atom
Raw total energy   -17.871 eV per cell
DOS at the Fermi energy   5.883 states/eV/f.u.
Crystal system   orthorhombic

***

Compound: BaCd8Ag2
Source: the Alexandria database
Functional: PBE
Structure: optimized geometry

a = 7.3770 Å, b = 7.3770 Å, c = 5.8197 Å
α = 90.00°, β = 90.00°, γ = 90.00°
Sites, in units of the cell vectors:
Ba  0.0000  0.0000  0.0000
Cd  0.2969  0.2969  0.2509
Cd  0.2969  0.2969  0.7491
Cd  0.2969  0.7031  0.2509
Cd  0.2969  0.7031  0.7491
Cd  0.7031  0.2969  0.2509
Cd  0.7031  0.2969  0.7491
Cd  0.7031  0.7031  0.2509
Cd  0.7031  0.7031  0.7491
Ag  0.0000  0.5000  0.5000
Ag  0.5000  0.0000  0.5000

Results
ΔE_f   0.67 eV/f.u.
Calculated volume   28.79 A^3/atom
Raw total energy   -14.272 eV per cell
DOS at the Fermi energy   6.102 states/eV/f.u.
Crystal system   tetragonal

***

Copy entry 4 word for word.
Compound: BaCd8Ag2
Source: the Alexandria database
Functional: PBE
Structure: optimized geometry

a = 7.3770 Å, b = 7.3770 Å, c = 5.8197 Å
α = 90.00°, β = 90.00°, γ = 90.00°
Sites, in units of the cell vectors:
Ba  0.0000  0.0000  0.0000
Cd  0.2969  0.2969  0.2509
Cd  0.2969  0.2969  0.7491
Cd  0.2969  0.7031  0.2509
Cd  0.2969  0.7031  0.7491
Cd  0.7031  0.2969  0.2509
Cd  0.7031  0.2969  0.7491
Cd  0.7031  0.7031  0.2509
Cd  0.7031  0.7031  0.7491
Ag  0.0000  0.5000  0.5000
Ag  0.5000  0.0000  0.5000

Results
ΔE_f   0.67 eV/f.u.
Calculated volume   28.79 A^3/atom
Raw total energy   -14.272 eV per cell
DOS at the Fermi energy   6.102 states/eV/f.u.
Crystal system   tetragonal